# 1
YEr4Lu2Ni2Te2 | OQMD | PBE-GGA | relaxed; excess energy over the best structure of this formula in the dataset = 0.000 eV per atom; final energy = -5.347 eV per atom
1.0
-1.9130 7.7121 4.7276
1.9130 -7.7121 4.7276
1.9130 7.7121 -4.7276
Y Er Lu Ni Te
1 4 2 2 2
direct
0.0000 0.0000 0.0000 Y
0.2841 0.4174 0.8668 Er
0.5506 0.4174 0.1332 Er
0.6210 0.2691 0.3518 Er
0.9173 0.2691 0.6482 Er
0.3059 0.6205 0.6854 Lu
0.9350 0.6205 0.3146 Lu
0.1669 0.9289 0.2380 Ni
0.6910 0.9289 0.7620 Ni
0.2648 0.7648 0.5000 Te
0.6633 0.6633 0.0000 Te

---

# 2
YEr2Lu4Ni2Te2 | OQMD | PBE-GGA | relaxed; excess energy over the best structure of this formula in the dataset = 0.000 eV per atom; final energy = -5.338 eV per atom
1.0
-1.9055 7.6661 4.7053
1.9055 -7.6661 4.7053
1.9055 7.6661 -4.7053
Y Er Lu Ni Te
1 2 4 2 2
direct
0.0000 0.0000 0.0000 Y
0.6205 0.2685 0.3520 Er
0.9164 0.2685 0.6480 Er
0.2838 0.4172 0.8665 Lu
0.3059 0.6206 0.6853 Lu
0.5507 0.4172 0.1335 Lu
0.9353 0.6206 0.3147 Lu
0.1677 0.9287 0.2390 Ni
0.6897 0.9287 0.7610 Ni
0.2661 0.7661 0.5000 Te
0.6619 0.6619 0.0000 Te

---

# 3
Y2Er2Lu3Ni2Te2 | OQMD | PBE-GGA | relaxed; excess energy over the best structure of this formula in the dataset = 0.007 eV per atom; final energy = -5.494 eV per atom
1.0
-1.9107 7.7155 4.7340
1.9107 -7.7155 4.7340
1.9107 7.7155 -4.7340
Y Er Lu Ni Te
2 2 3 2 2
direct
0.1461 0.0000 0.1461 Y
0.8539 0.0000 0.8539 Y
0.1673 0.3517 0.8155 Er
0.5362 0.3517 0.1845 Er
0.2314 0.7314 0.5000 Lu
0.5143 0.1480 0.3663 Lu
0.7817 0.1480 0.6337 Lu
0.4017 0.6612 0.7405 Ni
0.9206 0.6612 0.2595 Ni
0.4975 0.4975 0.0000 Te
0.8910 0.3910 0.5000 Te